No. 1
InAgAs: optimized geometry, GGA-PBE.

Structure (CIF):
```
data_InAgAs
_cell_length_a 6.6227
_cell_length_b 6.6227
_cell_length_c 6.6227
_cell_angle_alpha 90.00
_cell_angle_beta 90.00
_cell_angle_gamma 90.00
_symmetry_space_group_name_H-M 'F -4 3 m'
_symmetry_Int_Tables_number 216
_symmetry_space_group_name_Hall 'F -4 2 3'
loop_
_atom_site_label
_atom_site_type_symbol
_atom_site_fract_x
_atom_site_fract_y
_atom_site_fract_z
_atom_site_occupancy
In1 In 0.0000 0.0000 0.0000 1
Ag1 Ag 0.0000 0.0000 0.5000 1
As1 As 0.2500 0.2500 0.7500 1
```

- DFT total energy (eV per cell) = -39.5


No. 2
Li4InAg2As: optimized geometry, GGA-PBE.

Structure (CIF):
```
data_Li4InAg2As
_cell_length_a 4.3322
_cell_length_b 4.3322
_cell_length_c 6.9773
_cell_angle_alpha 90.00
_cell_angle_beta 90.00
_cell_angle_gamma 90.00
_symmetry_space_group_name_H-M 'P -4 m 2'
_symmetry_Int_Tables_number 115
_symmetry_space_group_name_Hall 'P -4 -2'
loop_
_atom_site_label
_atom_site_type_symbol
_atom_site_fract_x
_atom_site_fract_y
_atom_site_fract_z
_atom_site_occupancy
Li1 Li 0.0000 0.0000 0.0000 1
Li2 Li 0.0000 0.5000 0.2230 1
Li3 Li 0.5000 0.5000 0.5000 1
In1 In 0.0000 0.0000 0.5000 1
Ag1 Ag 0.0000 0.5000 0.7592 1
As1 As 0.5000 0.5000 0.0000 1
```

- DFT total energy (eV per cell) = -23.8


No. 3
InAgAs2Se6: optimized geometry, GGA-PBE.

Structure (CIF):
```
data_InAgAs2Se6
_cell_length_a 6.6618
_cell_length_b 6.6618
_cell_length_c 14.4420
_cell_angle_alpha 90.00
_cell_angle_beta 90.00
_cell_angle_gamma 120.00
_symmetry_space_group_name_H-M 'P -3 1 c'
_symmetry_Int_Tables_number 163
_symmetry_space_group_name_Hall '-P 3 2c'
loop_
_atom_site_label
_atom_site_type_symbol
_atom_site_fract_x
_atom_site_fract_y
_atom_site_fract_z
_atom_site_occupancy
In1 In 0.0000 0.0000 0.2500 1
Ag1 Ag 0.3333 0.6667 0.2500 1
As1 As 0.3333 0.6667 0.6633 1
Se1 Se 0.0001 0.3166 0.3771 1
```

- DFT total energy (eV per cell) = -74.3


No. 4
AgAs2Ir: optimized geometry, GGA-PBE.

Structure (CIF):
```
data_AgAs2Ir
_cell_length_a 6.4869
_cell_length_b 6.4869
_cell_length_c 6.4869
_cell_angle_alpha 90.00
_cell_angle_beta 90.00
_cell_angle_gamma 90.00
_symmetry_space_group_name_H-M 'F -4 3 m'
_symmetry_Int_Tables_number 216
_symmetry_space_group_name_Hall 'F -4 2 3'
loop_
_atom_site_label
_atom_site_type_symbol
_atom_site_fract_x
_atom_site_fract_y
_atom_site_fract_z
_atom_site_occupancy
Ag1 Ag 0.0000 0.0000 0.0000 1
As1 As 0.0000 0.0000 0.5000 1
As2 As 0.2500 0.2500 0.7500 1
Ir1 Ir 0.2500 0.2500 0.2500 1
```

- DFT total energy (eV per cell) = -75.1
- spin magnetization (μB/cell) = 0.009


No. 5
KAg2As2: optimized geometry, GGA-PBE.

Structure (CIF):
```
data_KAg2As2
_cell_length_a 4.5973
_cell_length_b 4.5973
_cell_length_c 10.9036
_cell_angle_alpha 90.00
_cell_angle_beta 90.00
_cell_angle_gamma 90.00
_symmetry_space_group_name_H-M 'I 4/m m m'
_symmetry_Int_Tables_number 139
_symmetry_space_group_name_Hall '-I 4 2'
loop_
_atom_site_label
_atom_site_type_symbol
_atom_site_fract_x
_atom_site_fract_y
_atom_site_fract_z
_atom_site_occupancy
K1 K 0.0000 0.0000 0.0000 1
Ag1 Ag 0.0000 0.5000 0.2500 1
As1 As 0.0000 0.0000 0.3863 1
```

- DFT total energy (eV per cell) = -34.1


No. 6
K2AgAs: optimized geometry, GGA-PBE.

Structure (CIF):
```
data_K2AgAs
_cell_length_a 10.0547
_cell_length_b 7.9364
_cell_length_c 6.0953
_cell_angle_alpha 90.00
_cell_angle_beta 90.00
_cell_angle_gamma 90.00
_symmetry_space_group_name_H-M 'C m c m'
_symmetry_Int_Tables_number 63
_symmetry_space_group_name_Hall '-C 2c 2'
loop_
_atom_site_label
_atom_site_type_symbol
_atom_site_fract_x
_atom_site_fract_y
_atom_site_fract_z
_atom_site_occupancy
K1 K 0.1726 0.1415 0.2500 1
Ag1 Ag 0.0000 0.5000 0.0000 1
As1 As 0.0000 0.2390 0.7500 1
```

- DFT total energy (eV per cell) = -45.2


No. 7
KNaAgAs: optimized geometry, GGA-PBE.

Structure (CIF):
```
data_KNaAgAs
_cell_length_a 5.9025
_cell_length_b 7.7127
_cell_length_c 9.4916
_cell_angle_alpha 90.00
_cell_angle_beta 90.00
_cell_angle_gamma 90.00
_symmetry_space_group_name_H-M 'A m a 2'
_symmetry_Int_Tables_number 40
_symmetry_space_group_name_Hall 'A 2 -2a'
loop_
_atom_site_label
_atom_site_type_symbol
_atom_site_fract_x
_atom_site_fract_y
_atom_site_fract_z
_atom_site_occupancy
K1 K 0.2500 0.1472 0.0000 1
Na1 Na 0.2500 0.1460 0.3502 1
Ag1 Ag 0.0000 0.0000 0.6768 1
As1 As 0.2500 0.2698 0.6668 1
```

- polymorph energy (0 for the lowest one) (meV/atom) = 13


No. 8
KNaAgAs: optimized geometry, GGA-PBE.

Structure (CIF):
```
data_KNaAgAs
_cell_length_a 5.8514
_cell_length_b 9.5053
_cell_length_c 7.7656
_cell_angle_alpha 90.00
_cell_angle_beta 90.00
_cell_angle_gamma 90.00
_symmetry_space_group_name_H-M 'A m m 2'
_symmetry_Int_Tables_number 38
_symmetry_space_group_name_Hall 'A 2 -2'
loop_
_atom_site_label
_atom_site_type_symbol
_atom_site_fract_x
_atom_site_fract_y
_atom_site_fract_z
_atom_site_occupancy
K1 K 0.0000 0.1747 0.0000 1
Na1 Na 0.5000 0.1736 0.2931 1
Ag1 Ag 0.2515 0.0000 0.6354 1
As1 As 0.0000 0.0000 0.3653 1
As2 As 0.5000 0.0000 0.9071 1
```

- polymorph energy (0 for the lowest one) (meV/atom) = 18


No. 9
KNa3Ag2As2: optimized geometry, GGA-PBE.

Structure (CIF):
```
data_KNa3Ag2As2
_cell_length_a 5.8307
_cell_length_b 5.7406
_cell_length_c 6.0587
_cell_angle_alpha 90.00
_cell_angle_beta 101.01
_cell_angle_gamma 90.00
_symmetry_space_group_name_H-M 'P 1 m 1'
_symmetry_Int_Tables_number 6
_symmetry_space_group_name_Hall 'P -2y'
loop_
_atom_site_label
_atom_site_type_symbol
_atom_site_fract_x
_atom_site_fract_y
_atom_site_fract_z
_atom_site_occupancy
K1 K 0.0000 0.0000 0.0000 1
Na1 Na 0.2952 0.5000 0.2974 1
Na2 Na 0.6416 0.0000 0.3489 1
Na3 Na 0.9336 0.5000 0.6354 1
Ag1 Ag 0.4633 0.2519 0.8180 1
As1 As 0.1968 0.0000 0.5284 1
As2 As 0.7381 0.5000 0.1064 1
```

- polymorph energy (0 for the lowest one) (meV/atom) = 0


No. 10
KNaAgAs: optimized geometry, GGA-PBE.

Structure (CIF):
```
data_KNaAgAs
_cell_length_a 5.9406
_cell_length_b 5.7731
_cell_length_c 6.2221
_cell_angle_alpha 90.00
_cell_angle_beta 101.58
_cell_angle_gamma 90.00
_symmetry_space_group_name_H-M 'P 1 21 1'
_symmetry_Int_Tables_number 4
_symmetry_space_group_name_Hall 'P 2yb'
loop_
_atom_site_label
_atom_site_type_symbol
_atom_site_fract_x
_atom_site_fract_y
_atom_site_fract_z
_atom_site_occupancy
K1 K 0.0382 0.0000 0.1828 1
Na1 Na 0.3303 0.4990 0.4827 1
Ag1 Ag 0.4999 0.2502 0.0001 1
As1 As 0.2445 0.0001 0.7080 1
```

- polymorph energy (0 for the lowest one) (meV/atom) = 5


No. 11
KNa3Ag2As2: optimized geometry, GGA-PBE.

Structure (CIF):
```
data_KNa3Ag2As2
_cell_length_a 5.7039
_cell_length_b 5.8282
_cell_length_c 5.9792
_cell_angle_alpha 78.96
_cell_angle_beta 89.99
_cell_angle_gamma 89.98
_symmetry_space_group_name_H-M 'P 1'
_symmetry_Int_Tables_number 1
_symmetry_space_group_name_Hall 'P 1'
loop_
_atom_site_label
_atom_site_type_symbol
_atom_site_fract_x
_atom_site_fract_y
_atom_site_fract_z
_atom_site_occupancy
K1 K 0.0000 0.0000 0.0000 1
Na1 Na 0.4983 0.7039 0.3004 1
Na2 Na 0.5009 0.0667 0.6393 1
Na3 Na 0.9984 0.3540 0.3530 1
Ag1 Ag 0.2516 0.5339 0.8221 1
Ag2 Ag 0.7477 0.5338 0.8221 1
As1 As 0.4997 0.2566 0.1140 1
As2 As 0.9994 0.8013 0.5290 1
```

- polymorph energy (0 for the lowest one) (meV/atom) = 4


No. 12
KNaAgAs: optimized geometry, GGA-PBE.

Structure (CIF):
```
data_KNaAgAs
_cell_length_a 5.9762
_cell_length_b 5.7906
_cell_length_c 6.3362
_cell_angle_alpha 90.00
_cell_angle_beta 101.75
_cell_angle_gamma 90.00
_symmetry_space_group_name_H-M 'P 1 21/m 1'
_symmetry_Int_Tables_number 11
_symmetry_space_group_name_Hall '-P 2yb'
loop_
_atom_site_label
_atom_site_type_symbol
_atom_site_fract_x
_atom_site_fract_y
_atom_site_fract_z
_atom_site_occupancy
K1 K 0.0419 0.2500 0.1877 1
Na1 Na 0.3327 0.7500 0.4857 1
Ag1 Ag 0.5000 0.0000 0.0000 1
As1 As 0.2484 0.2500 0.7106 1
```

- polymorph energy (0 for the lowest one) (meV/atom) = 0


No. 13
K3NaAg2As2: optimized geometry, GGA-PBE.

Structure (CIF):
```
data_K3NaAg2As2
_cell_length_a 6.2487
_cell_length_b 5.9644
_cell_length_c 6.3549
_cell_angle_alpha 90.00
_cell_angle_beta 102.27
_cell_angle_gamma 90.00
_symmetry_space_group_name_H-M 'P 1 m 1'
_symmetry_Int_Tables_number 6
_symmetry_space_group_name_Hall 'P -2y'
loop_
_atom_site_label
_atom_site_type_symbol
_atom_site_fract_x
_atom_site_fract_y
_atom_site_fract_z
_atom_site_occupancy
K1 K 0.0000 0.0000 0.0000 1
K2 K 0.0764 0.5000 0.3735 1
K3 K 0.7174 0.5000 0.7080 1
Na1 Na 0.3717 0.0000 0.6700 1
Ag1 Ag 0.5303 0.2504 0.1771 1
As1 As 0.2705 0.5000 0.9097 1
As2 As 0.7738 0.0000 0.4560 1
```

- DFT total energy (eV per cell) = -22.7


No. 14
K3NaAg2As2: optimized geometry, GGA-PBE.

Structure (CIF):
```
data_K3NaAg2As2
_cell_length_a 5.9524
_cell_length_b 6.1976
_cell_length_c 6.3206
_cell_angle_alpha 77.82
_cell_angle_beta 89.91
_cell_angle_gamma 89.96
_symmetry_space_group_name_H-M 'P 1'
_symmetry_Int_Tables_number 1
_symmetry_space_group_name_Hall 'P 1'
loop_
_atom_site_label
_atom_site_type_symbol
_atom_site_fract_x
_atom_site_fract_y
_atom_site_fract_z
_atom_site_occupancy
K1 K 0.0000 0.0000 0.0000 1
K2 K 0.9996 0.3559 0.3382 1
K3 K 0.5004 0.0702 0.6284 1
Na1 Na 0.4985 0.7064 0.2921 1
Ag1 Ag 0.2504 0.5403 0.8067 1
Ag2 Ag 0.7502 0.5403 0.8066 1
As1 As 0.0007 0.8030 0.5382 1
As2 As 0.5000 0.2913 0.0863 1
```

- DFT total energy (eV per cell) = -22.7


No. 15
KNaAgAs: optimized geometry, GGA-PBE.

Structure (CIF):
```
data_KNaAgAs
_cell_length_a 7.6535
_cell_length_b 9.3852
_cell_length_c 5.8485
_cell_angle_alpha 90.00
_cell_angle_beta 90.07
_cell_angle_gamma 90.00
_symmetry_space_group_name_H-M 'C 1 2 1'
_symmetry_Int_Tables_number 5
_symmetry_space_group_name_Hall 'C 2y'
loop_
_atom_site_label
_atom_site_type_symbol
_atom_site_fract_x
_atom_site_fract_y
_atom_site_fract_z
_atom_site_occupancy
K1 K 0.1470 0.0000 0.2490 1
Na1 Na 0.1436 0.6489 0.2519 1
Ag1 Ag 0.0000 0.3238 0.0000 1
Ag2 Ag 0.0000 0.3238 0.5000 1
As1 As 0.2257 0.8326 0.7494 1
```

- polymorph energy (0 for the lowest one) (meV/atom) = 17


No. 16
KAgAsO: optimized geometry, GGA-PBE.

Structure (CIF):
```
data_KAgAsO
_cell_length_a 4.4308
_cell_length_b 4.4308
_cell_length_c 8.6666
_cell_angle_alpha 90.00
_cell_angle_beta 90.00
_cell_angle_gamma 90.00
_symmetry_space_group_name_H-M 'P 4/n m m'
_symmetry_Int_Tables_number 129
loop_
_symmetry_equiv_pos_as_xyz
'x,y,z'
'-x,-y,-z'
'-y+1/2,x,z'
'y+1/2,-x,-z'
'-x+1/2,-y+1/2,z'
'x+1/2,y+1/2,-z'
'y,-x+1/2,z'
'-y,x+1/2,-z'
'x+1/2,-y,-z'
'-x+1/2,y,z'
'-y,-x,-z'
'y,x,z'
'-x,y+1/2,-z'
'x,-y+1/2,z'
'y+1/2,x+1/2,-z'
'-y+1/2,-x+1/2,z'
loop_
_atom_site_label
_atom_site_type_symbol
_atom_site_fract_x
_atom_site_fract_y
_atom_site_fract_z
_atom_site_occupancy
K1 K 0.2500 0.7500 0.0000 1
Ag1 Ag 0.2500 0.2500 0.2726 1
As1 As 0.2500 0.2500 0.5758 1
O1 O 0.2500 0.7500 0.5000 1
```

- polymorph energy (0 for the lowest one) (meV/atom) = 446


No. 17
KAgAsO: optimized geometry, GGA-PBE.

Structure (CIF):
```
data_KAgAsO
_cell_length_a 3.8478
_cell_length_b 8.7372
_cell_length_c 5.2821
_cell_angle_alpha 90.00
_cell_angle_beta 90.00
_cell_angle_gamma 90.00
_symmetry_space_group_name_H-M 'P m c 21'
_symmetry_Int_Tables_number 26
_symmetry_space_group_name_Hall 'P 2c -2'
loop_
_atom_site_label
_atom_site_type_symbol
_atom_site_fract_x
_atom_site_fract_y
_atom_site_fract_z
_atom_site_occupancy
K1 K 0.0000 0.1584 0.0000 1
Ag1 Ag 0.5000 0.2336 0.5001 1
As1 As 0.5000 0.4990 0.7576 1
O1 O 0.0000 0.1370 0.4998 1
```

- polymorph energy (0 for the lowest one) (meV/atom) = 0


No. 18
KAgAsO: optimized geometry, GGA-PBE.

Structure (CIF):
```
data_KAgAsO
_cell_length_a 4.6640
_cell_length_b 4.6640
_cell_length_c 6.7898
_cell_angle_alpha 90.00
_cell_angle_beta 90.00
_cell_angle_gamma 90.00
_symmetry_space_group_name_H-M 'P 4/n m m'
_symmetry_Int_Tables_number 129
loop_
_symmetry_equiv_pos_as_xyz
'x,y,z'
'-x,-y,-z'
'-y+1/2,x,z'
'y+1/2,-x,-z'
'-x+1/2,-y+1/2,z'
'x+1/2,y+1/2,-z'
'y,-x+1/2,z'
'-y,x+1/2,-z'
'x+1/2,-y,-z'
'-x+1/2,y,z'
'-y,-x,-z'
'y,x,z'
'-x,y+1/2,-z'
'x,-y+1/2,z'
'y+1/2,x+1/2,-z'
'-y+1/2,-x+1/2,z'
loop_
_atom_site_label
_atom_site_type_symbol
_atom_site_fract_x
_atom_site_fract_y
_atom_site_fract_z
_atom_site_occupancy
K1 K 0.2500 0.2500 0.1500 1
Ag1 Ag 0.2500 0.7500 0.5000 1
As1 As 0.2500 0.2500 0.7042 1
O1 O 0.2500 0.7500 0.0000 1
```

- polymorph energy (0 for the lowest one) (meV/atom) = 264


No. 19
KAgAsO: optimized geometry, GGA-PBE.

Structure (CIF):
```
data_KAgAsO
_cell_length_a 3.5313
_cell_length_b 8.1217
_cell_length_c 5.6177
_cell_angle_alpha 90.00
_cell_angle_beta 90.00
_cell_angle_gamma 90.00
_symmetry_space_group_name_H-M 'P m c 21'
_symmetry_Int_Tables_number 26
_symmetry_space_group_name_Hall 'P 2c -2'
loop_
_atom_site_label
_atom_site_type_symbol
_atom_site_fract_x
_atom_site_fract_y
_atom_site_fract_z
_atom_site_occupancy
K1 K 0.0000 0.1591 0.0000 1
Ag1 Ag 0.5000 0.2031 0.4994 1
As1 As 0.0000 0.4361 0.4982 1
O1 O 0.5000 0.9997 0.2492 1
```

- polymorph energy (0 for the lowest one) (meV/atom) = 3


No. 20
K4Ag2AsP: optimized geometry, GGA-PBE.

Structure (CIF):
```
data_K4Ag2AsP
_cell_length_a 6.0593
_cell_length_b 10.0172
_cell_length_c 7.8304
_cell_angle_alpha 90.00
_cell_angle_beta 90.00
_cell_angle_gamma 90.00
_symmetry_space_group_name_H-M 'A m m 2'
_symmetry_Int_Tables_number 38
_symmetry_space_group_name_Hall 'A 2 -2'
loop_
_atom_site_label
_atom_site_type_symbol
_atom_site_fract_x
_atom_site_fract_y
_atom_site_fract_z
_atom_site_occupancy
K1 K 0.0000 0.1715 0.0000 1
K2 K 0.5000 0.1736 0.2821 1
Ag1 Ag 0.2519 0.0000 0.6485 1
As1 As 0.0000 0.0000 0.3851 1
P1 P 0.5000 0.0000 0.8982 1
```

- DFT total energy (eV per cell) = -46.3